1.
Ta2CdAg: relaxed, PBE.

Lattice parameters (Å, degrees): 7.701 7.701 6.077 50.68 50.68 90.00
Sites, in units of the cell vectors:
Cd: 0.000 0.000 0.000
Cd: 0.750 0.250 0.500
Ag: 0.500 0.500 0.000
Ag: 0.250 0.750 0.500
Ta: 0.614 0.125 0.250
Ta: 0.136 0.625 0.250
Ta: 0.375 0.386 0.750
Ta: 0.875 0.864 0.750

As for the formation energy from the elements: 888 meV/atom.

---

2.
Sr6AsP2: relaxed, PBE.

Lattice parameters (Å, degrees): 7.278 7.735 12.820 90.03 90.00 90.00
Sites, in units of the cell vectors:
Sr: 0.245 0.181 0.665
Sr: 0.246 0.181 0.336
Sr: 0.282 0.156 0.000
Sr: 0.782 0.344 0.500
Sr: 0.746 0.319 0.164
Sr: 0.745 0.319 0.835
Sr: 0.755 0.819 0.335
Sr: 0.754 0.819 0.664
Sr: 0.718 0.844 0.000
Sr: 0.218 0.656 0.500
Sr: 0.254 0.681 0.836
Sr: 0.255 0.681 0.165
As: 0.500 0.500 0.000
As: 0.000 0.000 0.500
P: 0.501 0.000 0.184
P: 0.001 0.500 0.316
P: 0.999 0.500 0.684
P: 0.499 0.000 0.816

As for the formation energy from the elements: -863 meV/atom.

---

3.
Ac3Zn2SnPd9: relaxed, PBE.

Lattice parameters (Å, degrees): 5.897 5.897 11.575 90.00 90.00 120.00
Sites, in units of the cell vectors:
Ac: 0.333 0.667 0.734
Ac: 0.000 0.000 0.000
Ac: 0.667 0.333 0.266
Zn: 0.333 0.667 0.162
Zn: 0.667 0.333 0.838
Sn: 0.000 0.000 0.500
Pd: 0.831 0.169 0.673
Pd: 0.831 0.661 0.673
Pd: 0.339 0.169 0.673
Pd: 0.661 0.831 0.327
Pd: 0.169 0.339 0.327
Pd: 0.169 0.831 0.327
Pd: 0.500 0.000 0.000
Pd: 0.000 0.500 0.000
Pd: 0.500 0.500 0.000

As for the formation energy from the elements: -582 meV/atom.